No. 1
The following is a DFT calculation (PBE-GGA) of a relaxed ZrSnS6 crystal.

formation energy from raw total energies = 72 meV/atom
crystal system = cubic
volume = 31.3 Å³ per atom
E = -36.74 eV for the cell shown

Cell lengths 7.0763, 7.0763, 7.0763 Å; angles 60.00, 60.00, 60.00 degrees
With the nearest neighbours (Å) after each atom.
Atoms (fractional coordinates):
Zr: 0.0000 0.0000 0.0000  6 S 2.50
Sn: 0.5000 0.5000 0.5000  6 S 2.50
S: 0.2502 0.2502 0.7498  1 Sn 2.50, 1 Zr 2.50
S: 0.2502 0.7498 0.2502  1 Sn 2.50, 1 Zr 2.50
S: 0.2502 0.7498 0.7498  1 Sn 2.50, 1 Zr 2.50
S: 0.7498 0.2502 0.2502  1 Sn 2.50, 1 Zr 2.50
S: 0.7498 0.2502 0.7498  1 Sn 2.50, 1 Zr 2.50
S: 0.7498 0.7498 0.2502  1 Sn 2.50, 1 Zr 2.50

---

No. 2
The following is a DFT calculation (PBE-GGA) of a relaxed Rb3In2Bi4Pb2 crystal.

crystal system = trigonal
energy of formation from the pure elements = -0.17 eV per atom
volume = 43.7 Å³ per atom
E = -33.18 eV for the cell shown

Cell lengths 5.3585, 5.3585, 19.3113 Å; angles 90.00, 90.00, 120.00 degrees
With the nearest neighbours (Å) after each atom.
Atoms (fractional coordinates):
Rb: 0.0000 0.0000 0.0000  6 Bi 4.10, 6 In 4.14
Rb: 0.0000 0.0000 0.2775  6 Bi 3.84-4.08, 3 In 4.04
Rb: 0.0000 0.0000 0.7225  6 Bi 3.84-4.08, 3 In 4.04
In: 0.3333 0.6667 0.1426  3 Bi 3.09
In: 0.6667 0.3333 0.8574  3 Bi 3.09
Bi: 0.3333 0.6667 0.3956  4 Pb 3.15-3.22
Bi: 0.3333 0.6667 0.8606  3 In 3.09
Bi: 0.6667 0.3333 0.1394  3 In 3.09
Bi: 0.6667 0.3333 0.6044  4 Pb 3.15-3.22
Pb: 0.3333 0.6667 0.5587  4 Bi 3.15-3.22
Pb: 0.6667 0.3333 0.4413  4 Bi 3.15-3.22